The following is a PBE calculation of a geometry-optimized LaPaP2 structure, from Alexandria.

Results
Density of states at the Fermi level in states/eV per atom: 0.59
Energy above the lowest structure with this stoichiometry in eV per formula unit: 0.55
VASP energy in eV/atom: -7.609

Unit cell a=7.449 b=7.449 c=7.449 alpha=31.31 beta=31.31 gamma=31.31
Sites, in units of the cell vectors:
La (0.000, 0.000, 0.000)
Pa (0.176, 0.176, 0.176)
P (0.582, 0.582, 0.582)
P (0.765, 0.765, 0.765)